Material: Ba2NbWI
Method: DFT, PBEsol
State: relaxed

The density of states at the Fermi level comes out at 6.75 states/eV per cell. As for the symmetry: P4/mmm (123). The value obtained for the formation energy without anion corrections is 1553 meV per atom. The calculation puts the density at 6.1 g cm⁻³.

abc: 5.068 6.046 6.046
angles: 90.00 90.00 90.00
Site moments in Bohr magnetons follow the coordinates.
Element x y z (fractional)
1 I 0.500 0.000 0.000  0.01
2 Nb 0.500 0.500 0.500  2.99
3 Ba 0.000 0.000 0.500  0.07
4 Ba 0.000 0.500 0.000  0.07
5 W 0.000 0.000 0.000  0.04

---

Material: Ba2NiPbI
Method: DFT, PBEsol
State: relaxed

The density of states at the Fermi level comes out at 3.64 states/eV per cell. As for the symmetry: P4/mmm (123). The value obtained for the formation energy without anion corrections is -183 meV per atom. The calculation puts the density at 5.7 g cm⁻³.

abc: 4.556 6.523 6.523
angles: 90.00 90.00 90.00
Element x y z (fractional)
1 Pb 0.500 0.500 0.500
2 I 0.000 0.000 0.000
3 Ba 0.000 0.000 0.500
4 Ba 0.000 0.500 0.000
5 Ni 0.500 0.000 0.000